Entry 1:
Computed, not measured: an optimized crystal structure of NaAcPd2Pb2 at the PBE level of DFT.

## Properties
For the raw total energy, the calculation gives -4.320 eV per atom. As for the density of states at the Fermi level: 3.2 states/eV/f.u. The calculated formation energy is -2.7 eV/f.u. For the magnetization, the calculation gives 0.00 μB per formula unit. Its space-group type is P-3m1 (164).

Cell and atoms, written as CIF:
```
data_NaAcPd2Pb2
_cell_length_a 4.8995
_cell_length_b 4.8995
_cell_length_c 7.2069
_cell_angle_alpha 90.00
_cell_angle_beta 90.00
_cell_angle_gamma 120.00
_space_group_name_H-M_alt 'P 1'
_space_group_IT_number 1
_space_group_name_Hall 'P 1'
loop_
_atom_site_label
_atom_site_fract_x
_atom_site_fract_y
_atom_site_fract_z
Ac1 0.0000 0.0000 0.0000
Pb1 0.6667 0.3333 0.7000
Na1 0.0000 0.0000 0.5000
Pd1 0.3333 0.6667 0.7269
Pd2 0.6667 0.3333 0.2731
Pb2 0.3333 0.6667 0.3000
```

Entry 2:
Computed, not measured: an optimized crystal structure of ReRh3C at the PBE level of DFT.

## Properties
For the raw total energy, the calculation gives -8.149 eV per atom. As for the density of states at the Fermi level: 6.9 states/eV/f.u. The calculated formation energy is 3.0 eV/f.u. For the magnetization, the calculation gives 2.95 μB per formula unit. Its space-group type is Pm-3m (221). For the polymorph energy (0 for the lowest one), the calculation gives 0 meV/atom.

Cell and atoms, written as CIF:
```
data_ReRh3C
_cell_length_a 4.0711
_cell_length_b 4.0711
_cell_length_c 4.0711
_cell_angle_alpha 90.00
_cell_angle_beta 90.00
_cell_angle_gamma 90.00
_space_group_name_H-M_alt 'P 1'
_space_group_IT_number 1
_space_group_name_Hall 'P 1'
loop_
_atom_site_label
_atom_site_fract_x
_atom_site_fract_y
_atom_site_fract_z
Rh1 0.5000 0.0000 0.0000
Rh2 0.0000 0.5000 0.0000
Rh3 0.0000 0.0000 0.5000
Re1 0.5000 0.5000 0.5000
C1 0.0000 0.0000 0.0000
```

Entry 3:
Computed, not measured: an optimized crystal structure of TiBiSe2 at the PBE level of DFT.

## Properties
For the raw total energy, the calculation gives -5.314 eV per atom. For the uncorrected formation energy, the calculation gives -0.63 eV/atom. As for the density of states at the Fermi level: 0.8 states/eV/f.u. For the magnetization, the calculation gives 0.00 μB per formula unit. Its space-group type is Cc (9).

Cell and atoms, written as CIF:
```
data_TiBiSe2
_cell_length_a 16.7774
_cell_length_b 6.6948
_cell_length_c 6.6948
_cell_angle_alpha 97.09
_cell_angle_beta 135.74
_cell_angle_gamma 44.26
_space_group_name_H-M_alt 'P 1'
_space_group_IT_number 1
_space_group_name_Hall 'P 1'
loop_
_atom_site_label
_atom_site_fract_x
_atom_site_fract_y
_atom_site_fract_z
Bi1 0.6590 0.5508 0.0009
Se1 0.9247 0.0473 0.0244
Ti1 0.7504 0.6863 0.8151
Se2 0.1833 0.1422 0.6353
Ti2 0.2504 0.6849 0.8137
Se3 0.4247 0.4756 0.4527
Se4 0.6833 0.8647 0.3578
Bi2 0.1590 0.4991 0.9492
```

Entry 4:
Computed, not measured: an optimized crystal structure of GdErTh2 at the PBE level of DFT.

## Properties
For the raw total energy, the calculation gives -8.323 eV per atom. As for the density of states at the Fermi level: 6.3 states/eV/f.u. The calculated formation energy is 0.2 eV/f.u. For the magnetization, the calculation gives 7.16 μB per formula unit. Its space-group type is P4/mmm (123). For the polymorph energy (0 for the lowest one), the calculation gives 0 meV/atom.

Cell and atoms, written as CIF:
```
data_GdErTh2
_cell_length_a 5.0724
_cell_length_b 5.0085
_cell_length_c 5.0085
_cell_angle_alpha 90.00
_cell_angle_beta 90.00
_cell_angle_gamma 90.00
_space_group_name_H-M_alt 'P 1'
_space_group_IT_number 1
_space_group_name_Hall 'P 1'
loop_
_atom_site_label
_atom_site_fract_x
_atom_site_fract_y
_atom_site_fract_z
Th1 0.0000 0.5000 0.0000
Er1 0.5000 0.5000 0.5000
Gd1 0.5000 0.0000 0.0000
Th2 0.0000 0.0000 0.5000
```

Entry 5:
Computed, not measured: an optimized crystal structure of ErNpSc2As4 at the PBE level of DFT.

## Properties
For the raw total energy, the calculation gives -7.321 eV per atom. As for the density of states at the Fermi level: 10.5 states/eV/f.u. The calculated formation energy is -9.8 eV/f.u. For the magnetization, the calculation gives 3.74 μB per formula unit. Its space-group type is P2/m (10).

Cell and atoms, written as CIF:
```
data_ErNpSc2As4
_cell_length_a 3.9836
_cell_length_b 6.8902
_cell_length_c 6.9146
_cell_angle_alpha 70.63
_cell_angle_beta 90.00
_cell_angle_gamma 90.00
_space_group_name_H-M_alt 'P 1'
_space_group_IT_number 1
_space_group_name_Hall 'P 1'
loop_
_atom_site_label
_atom_site_fract_x
_atom_site_fract_y
_atom_site_fract_z
Sc1 0.0000 0.0000 0.0000
As1 0.5000 0.7617 0.2449
As2 0.5000 0.2383 0.7551
Np1 0.5000 0.5000 0.0000
As3 0.0000 0.7633 0.7455
Sc2 0.5000 0.0000 0.5000
As4 0.0000 0.2367 0.2545
Er1 0.0000 0.5000 0.5000
```

Entry 6:
Computed, not measured: an optimized crystal structure of Zr2CdAg at the PBE level of DFT.

## Properties
For the raw total energy, the calculation gives -5.260 eV per atom. As for the density of states at the Fermi level: 4.7 states/eV/f.u. The calculated formation energy is -0.2 eV/f.u. For the magnetization, the calculation gives 0.00 μB per formula unit. Its space-group type is Cmmm (65).

Cell and atoms, written as CIF:
```
data_Zr2CdAg
_cell_length_a 5.4132
_cell_length_b 5.4132
_cell_length_c 3.0327
_cell_angle_alpha 89.97
_cell_angle_beta 89.97
_cell_angle_gamma 110.44
_space_group_name_H-M_alt 'P 1'
_space_group_IT_number 1
_space_group_name_Hall 'P 1'
loop_
_atom_site_label
_atom_site_fract_x
_atom_site_fract_y
_atom_site_fract_z
Ag1 0.5000 0.0000 0.5000
Cd1 0.0000 0.5000 0.5000
Zr1 0.5000 0.5000 0.0000
Zr2 0.0000 0.0000 0.0000
```

Entry 7:
Computed, not measured: an optimized crystal structure of Be3TcAs at the PBE level of DFT.

## Properties
For the raw total energy, the calculation gives -4.065 eV per atom. As for the density of states at the Fermi level: 2.6 states/eV/f.u. The calculated formation energy is 5.9 eV/f.u. For the magnetization, the calculation gives 2.10 μB per formula unit. Its space-group type is Pm-3m (221). For the polymorph energy (0 for the lowest one), the calculation gives 173 meV/atom.

Cell and atoms, written as CIF:
```
data_Be3TcAs
_cell_length_a 4.1571
_cell_length_b 4.1571
_cell_length_c 4.1571
_cell_angle_alpha 90.00
_cell_angle_beta 90.00
_cell_angle_gamma 90.00
_space_group_name_H-M_alt 'P 1'
_space_group_IT_number 1
_space_group_name_Hall 'P 1'
loop_
_atom_site_label
_atom_site_fract_x
_atom_site_fract_y
_atom_site_fract_z
Be1 0.0000 0.0000 0.5000
Be2 0.0000 0.5000 0.0000
As1 0.0000 0.0000 0.0000
Be3 0.5000 0.0000 0.0000
Tc1 0.5000 0.5000 0.5000
```

Entry 8:
Computed, not measured: an optimized crystal structure of ErMgIn3 at the PBE level of DFT.

## Properties
For the raw total energy, the calculation gives -2.980 eV per atom. As for the density of states at the Fermi level: 3.3 states/eV/f.u. The calculated formation energy is -0.5 eV/f.u. For the magnetization, the calculation gives 0.00 μB per formula unit. Its space-group type is Pmma (51).

Cell and atoms, written as CIF:
```
data_ErMgIn3
_cell_length_a 3.3231
_cell_length_b 10.2038
_cell_length_c 8.1976
_cell_angle_alpha 90.00
_cell_angle_beta 90.00
_cell_angle_gamma 90.00
_space_group_name_H-M_alt 'P 1'
_space_group_IT_number 1
_space_group_name_Hall 'P 1'
loop_
_atom_site_label
_atom_site_fract_x
_atom_site_fract_y
_atom_site_fract_z
Mg1 0.5000 0.7500 0.7264
Er1 0.0000 0.2500 0.9025
In1 0.5000 0.5964 0.3747
Mg2 0.5000 0.2500 0.2736
In2 0.5000 0.4036 0.6253
In3 0.5000 0.0964 0.6253
Er2 0.0000 0.7500 0.0975
In4 0.5000 0.9036 0.3747
In5 0.5000 0.0000 0.0000
In6 0.5000 0.5000 0.0000
```